No. 1
{
  "formula": "CaWSe2",
  "functional": "PBE-GGA",
  "state": "relaxed",
  "lattice_angstrom": [[2.150, 0.000, 8.582], [-1.075, 1.862, 8.582], [-1.075, -1.862, 8.582]],
  "species": ["Ca", "Se", "Se", "W"],
  "fractional_positions": [[0.500, 0.500, 0.500], [0.907, 0.907, 0.907], [0.093, 0.093, 0.093], [0.000, 0.000, 0.000]],
  "dft_energy_ev_per_atom": -5.394,
  "n_ef_per_ev_atom": 0.407,
  "raw_formation_energy_ev_per_atom": 0.087,
  "e_above_lowest_polymorph_mev_per_atom": 594
}

No. 2
{
  "formula": "CaWSe3",
  "functional": "PBE-GGA",
  "state": "relaxed",
  "lattice_angstrom": [[4.999, 0.000, 0.000], [0.000, 4.999, 0.000], [0.000, 0.000, 4.999]],
  "species": ["Ca", "Se", "Se", "Se", "W"],
  "fractional_positions": [[0.500, 0.500, 0.500], [0.000, 0.500, 0.000], [0.000, 0.000, 0.500], [0.500, 0.000, 0.000], [0.000, 0.000, 0.000]],
  "dft_energy_ev_per_atom": -5.508,
  "n_ef_per_ev_atom": 0.566,
  "raw_formation_energy_ev_per_atom": -0.426
}

No. 3
{
  "formula": "CaW2Se",
  "functional": "PBE-GGA",
  "state": "relaxed",
  "lattice_angstrom": [[3.036, 0.005, 0.000], [-0.007, 3.036, 0.000], [0.000, 0.000, 8.348]],
  "species": ["Ca", "Se", "W", "W"],
  "fractional_positions": [[0.500, 0.500, 0.250], [0.500, 0.500, 0.750], [0.000, 0.000, 0.942], [0.000, 0.000, 0.558]],
  "dft_energy_ev_per_atom": -7.007,
  "n_ef_per_ev_atom": 0.933,
  "raw_formation_energy_ev_per_atom": 0.841
}

No. 4
{
  "formula": "CaWSe2",
  "functional": "PBE-GGA",
  "state": "relaxed",
  "lattice_angstrom": [[4.891, 0.000, 0.000], [0.000, 3.562, -0.002], [0.000, 1.785, 4.898]],
  "species": ["Ca", "Se", "Se", "W"],
  "fractional_positions": [[0.500, 0.656, 0.814], [0.000, 0.087, 0.952], [0.500, 0.373, 0.378], [0.000, 0.384, 0.356]],
  "dft_energy_ev_per_atom": -5.893,
  "n_ef_per_ev_atom": 0.788,
  "raw_formation_energy_ev_per_atom": -0.412,
  "e_above_lowest_polymorph_mev_per_atom": 95
}

No. 5
{
  "formula": "CaWSe2",
  "functional": "PBE-GGA",
  "state": "relaxed",
  "lattice_angstrom": [[-0.963, -1.863, 2.545], [2.995, -1.374, -0.124], [2.401, 4.833, 4.447]],
  "species": ["Ca", "Se", "Se", "W"],
  "fractional_positions": [[0.500, 0.500, 0.750], [0.000, 0.000, 0.033], [0.000, 0.000, 0.467], [0.500, 0.500, 0.250]],
  "dft_energy_ev_per_atom": -5.742,
  "n_ef_per_ev_atom": 0.880,
  "raw_formation_energy_ev_per_atom": -0.261,
  "e_above_lowest_polymorph_mev_per_atom": 246
}

No. 6
{
  "formula": "CaW2Se",
  "functional": "PBE-GGA",
  "state": "relaxed",
  "lattice_angstrom": [[2.792, 0.000, 0.000], [0.000, 5.204, 0.000], [0.000, 0.000, 5.386]],
  "species": ["Ca", "Se", "W", "W"],
  "fractional_positions": [[0.500, 0.500, 0.250], [0.500, 0.500, 0.750], [0.000, 0.000, 0.013], [0.000, 0.000, 0.487]],
  "dft_energy_ev_per_atom": -6.968,
  "n_ef_per_ev_atom": 1.135,
  "raw_formation_energy_ev_per_atom": 0.880
}